Compound: SrAg2Sn2
Source: the Alexandria database
Functional: PBE
Structure: relaxed

The distance to the lowest polymorph of the same formula is 139.8 meV/atom.

It has space group C2/c (No. 15), with a = 6.551 Å, b = 12.034 Å, c = 7.847 Å, α = 90.00°, β = 114.33° and γ = 90.00°. The asymmetric unit holds Sr at (0.000, 0.125, 0.250), Ag at (0.000, 0.165, 0.750), Ag at (0.000, 0.415, 0.250) and Sn at (0.105, 0.375, 0.956).

***

Compound: SrAg2Sn3
Source: the Alexandria database
Functional: PBE
Structure: relaxed

The distance to the lowest polymorph of the same formula is 23.9 meV/atom.

It has space group Cmcm (No. 63), with a = 11.957 Å, b = 9.594 Å, c = 5.891 Å, α = 90.00°, β = 90.00° and γ = 90.00°. The asymmetric unit holds Sr at (0.000, 0.196, 0.250), Ag at (0.211, 0.000, 0.000), Sn at (0.000, 0.445, 0.750) and Sn at (0.197, 0.256, 0.750).

***

Compound: SrAgSn4
Source: the Alexandria database
Functional: PBE
Structure: relaxed

It has space group F-43m (No. 216), with a = 8.883 Å, b = 8.883 Å, c = 8.883 Å, α = 90.00°, β = 90.00° and γ = 90.00°. The asymmetric unit holds Sr at (0.000, 0.000, 0.000), Ag at (0.250, 0.250, 0.750) and Sn at (0.125, 0.125, 0.375).

***

Compound: Sr2Ag7Sn
Source: the Alexandria database
Functional: PBE
Structure: relaxed

It has space group P-4m2 (No. 115), with a = 4.437 Å, b = 4.437 Å, c = 12.455 Å, α = 90.00°, β = 90.00° and γ = 90.00°. The asymmetric unit holds Sr at (0.000, 0.500, 0.242), Ag at (0.000, 0.000, 0.000), Ag at (0.000, 0.500, 0.644), Ag at (0.000, 0.500, 0.863), Ag at (0.500, 0.500, 0.000), Ag at (0.500, 0.500, 0.500) and Sn at (0.000, 0.000, 0.500).

***

Compound: Sr2Ag3Sn
Source: the Alexandria database
Functional: PBE
Structure: relaxed

The distance to the lowest polymorph of the same formula is 24.7 meV/atom.

It has space group Fmmm (No. 69), with a = 8.430 Å, b = 9.626 Å, c = 16.885 Å, α = 90.00°, β = 90.00° and γ = 90.00°. The asymmetric unit holds Sr at (0.242, 0.000, 0.000), Sr at (0.250, 0.250, 0.250), Ag at (0.000, 0.000, 0.168), Ag at (0.000, 0.250, 0.083) and Sn at (0.000, 0.000, 0.335).

***

Compound: Sr3Ag5Sn2
Source: the Alexandria database
Functional: PBE
Structure: relaxed

It has space group Ibam (No. 72), with a = 11.622 Å, b = 14.472 Å, c = 6.697 Å, α = 90.00°, β = 90.00° and γ = 90.00°. The asymmetric unit holds Sr at (0.000, 0.000, 0.250), Sr at (0.214, 0.367, 0.000), Ag at (0.000, 0.219, 0.250), Ag at (0.000, 0.500, 0.250), Ag at (0.090, 0.360, 0.500) and Sn at (0.174, 0.134, 0.000).

***

Compound: Sr3AgSn3
Source: the Alexandria database
Functional: PBE
Structure: relaxed

It has space group C2/m (No. 12), with a = 11.926 Å, b = 4.972 Å, c = 16.114 Å, α = 90.00°, β = 110.23° and γ = 90.00°. The asymmetric unit holds Sr at (0.044, 0.000, 0.386), Sr at (0.098, 0.000, 0.920), Sr at (0.244, 0.000, 0.230), Ag at (0.249, 0.500, 0.393), Sn at (0.037, 0.500, 0.234), Sn at (0.113, 0.500, 0.076) and Sn at (0.132, 0.500, 0.543).

***

Compound: SrAg12Sn6
Source: the Alexandria database
Functional: PBE
Structure: relaxed

It has space group R-3m (No. 166, hexagonal axes), with a = 12.5096 Å, b = 12.5096 Å, c = 9.7167 Å, α = 90.00°, β = 90.00° and γ = 120.00°. The asymmetric unit holds Sr at (0.0000, 0.0000, 0.0000), Ag at (0.0000, 0.3899, 0.5000), Ag at (0.0795, 0.1591, 0.2862) and Sn at (0.0583, 0.5291, 0.2400).

***

Compound: Sr2Ag3Sn2
Source: the Alexandria database
Functional: PBE
Structure: relaxed

It has space group C2/m (No. 12), with a = 11.680 Å, b = 4.763 Å, c = 7.384 Å, α = 90.00°, β = 114.44° and γ = 90.00°. The asymmetric unit holds Sr at (0.148, 0.000, 0.256), Ag at (0.000, 0.500, 0.500), Ag at (0.096, 0.500, 0.924) and Sn at (0.140, 0.000, 0.729).

***

Compound: Sr3AgSn
Source: the Alexandria database
Functional: PBE
Structure: relaxed

The distance to the lowest polymorph of the same formula is 0.0 meV/atom.

It has space group C2/c (No. 15), with a = 13.043 Å, b = 11.974 Å, c = 9.641 Å, α = 90.00°, β = 92.07° and γ = 90.00°. The asymmetric unit holds Sr at (0.068, 0.115, 0.086), Sr at (0.098, 0.401, 0.917), Sr at (0.246, 0.175, 0.683), Ag at (0.212, 0.049, 0.374), Sn at (0.000, 0.145, 0.750) and Sn at (0.000, 0.363, 0.250).

***

Record-wise DFT formation energy values, in meV/atom: -213, -189, -66, -181, -358, -235, -615, 37, -384, -371
Record-wise V values, in A^3/atom: 28.2, 28.2, 29.2, 24.5, 28.5, 28.2, 32.0, 23.1, 26.7, 37.6
Record-wise total magnetic moment values, in Bohr magnetons per cell: 0.00, 0.00, 0.00, 0.00, 0.00, 0.00, 0.00, 0.00, 0.00, 0.01